Compound: K2TaBr
Source: Alexandria
Functional: GGA-PBE
Structure: optimized geometry

size of the total moment = 4.0 μB/f.u.
excess energy over the best structure of this formula in the dataset = 496 meV/atom
uncorrected formation energy = 3.36 eV per formula unit
N(E_F) = 12.71 states/eV per cell
crystal system = tetragonal
raw total energy = -3.09 eV per atom

Cell: 4.9305 4.9305 12.4610 Å, 90.00 90.00 90.00°
Space group I-4m2 (No. 119)
Inequivalent atoms, fractional coordinates:
K 0.0000 0.0000 0.0000
K 0.0000 0.5000 0.2500
Ta 0.0000 0.5000 0.7500
Br 0.0000 0.0000 0.5000